# 1
# Zn2TeAu2

A relaxed Zn2TeAu2 crystal (GGA-PBEsol, Alexandria via LeMat-Bulk).

a b c (Å): 6.9296 6.9296 6.9296
angles (deg): 148.08 148.08 45.77
Fractional positions:
Zn  0.2500  0.7500  0.5000
Zn  0.7500  0.2500  0.5000
Te  0.0000  0.0000  0.0000
Au  0.3892  0.3892  0.0000
Au  0.6108  0.6108  0.0000

Summary:
* VASP energy: -3.01 eV/atom
* space group: I4/mmm, No. 139
* calculated volume: 92.7 Å³/cell
* energy relative to the elements, uncorrected: -100 meV/atom

# 2
# ZnTeAu

A relaxed ZnTeAu crystal (GGA-PBEsol, Alexandria via LeMat-Bulk).

a b c (Å): 4.1147 4.1147 4.2801
angles (deg): 90.00 90.00 120.00
Fractional positions:
Zn  0.0000  0.0000  0.0000
Te  0.6667  0.3333  0.3596
Au  0.3333  0.6667  0.7337

Summary:
* VASP energy: -3.02 eV/atom
* space group: P3m1, No. 156
* calculated volume: 62.8 Å³/cell
* energy relative to the elements, uncorrected: -5 meV/atom

Question: The highest energy relative to the elements, uncorrected belongs to which entry?
Answer: ZnTeAu